Record 1
{"formula": "TmCdInGa", "functional": "PBE", "state": "relaxed", "dos_at_fermi_per_ev_cell": 1.84, "formation_energy_mev_per_atom": -181.7, "vol_a3_per_atom": 23.054, "crystal_system": "cubic", "relative_energy_mev_per_atom": 180, "lattice": [[-3.388, 0.517, -3.738], [0.976, -1.920, -4.591], [-2.580, -4.038, -1.660]], "species": ["Cd", "In", "Tm", "Ga"], "frac_coords": [[0.750, 0.750, 0.750], [0.500, 0.500, 0.500], [0.250, 0.250, 0.250], [0.000, 0.000, 0.000]]}

=====

Record 2
{"formula": "YCdInGa", "functional": "PBE", "state": "relaxed", "dos_at_fermi_per_ev_cell": 1.52, "formation_energy_mev_per_atom": -410.3, "vol_a3_per_atom": 22.687, "crystal_system": "orthorhombic", "lattice": [[-4.194, 1.378, 0.336], [-1.413, -3.968, -1.368], [-0.130, -1.467, 4.388]], "species": ["Cd", "Y", "In", "Ga"], "frac_coords": [[0.000, 0.500, 0.500], [0.000, 0.000, 0.000], [0.500, 0.000, 0.500], [0.500, 0.500, 0.000]]}

=====

Record 3
{"formula": "Y4CdIn2Ga", "functional": "PBE", "state": "relaxed", "dos_at_fermi_per_ev_cell": 5.66, "formation_energy_mev_per_atom": -492.2, "vol_a3_per_atom": 25.661, "crystal_system": "trigonal", "lattice": [[5.263, 0.000, 0.000], [2.632, 4.558, 0.000], [2.632, 1.519, 8.557]], "species": ["Y", "Y", "Y", "Y", "Ga", "In", "In", "Cd"], "frac_coords": [[0.621, 0.621, 0.138], [0.128, 0.128, 0.615], [0.379, 0.379, 0.862], [0.872, 0.872, 0.385], [0.500, 0.500, 0.500], [0.255, 0.255, 0.236], [0.745, 0.745, 0.764], [0.000, 0.000, 0.000]]}

=====

Record 4
{"formula": "Y4Cd2InGa", "functional": "PBE", "state": "relaxed", "dos_at_fermi_per_ev_cell": 7.68, "formation_energy_mev_per_atom": -461.3, "vol_a3_per_atom": 25.524, "crystal_system": "trigonal", "lattice": [[5.248, 0.000, 0.000], [2.624, 4.544, 0.000], [2.624, 1.515, 8.563]], "species": ["Y", "Y", "Y", "In", "Y", "Cd", "Cd", "Ga"], "frac_coords": [[0.379, 0.379, 0.863], [0.871, 0.871, 0.386], [0.129, 0.129, 0.614], [0.000, 0.000, 0.000], [0.621, 0.621, 0.137], [0.253, 0.253, 0.242], [0.747, 0.747, 0.758], [0.500, 0.500, 0.500]]}

=====

Record 5
{"formula": "ZnCdInGa", "functional": "PBE", "state": "relaxed", "dos_at_fermi_per_ev_cell": 2.13, "formation_energy_mev_per_atom": 135.1, "vol_a3_per_atom": 21.596, "crystal_system": "cubic", "lattice": [[4.962, 0.000, 0.000], [2.481, 4.297, 0.000], [2.481, 1.432, 4.051]], "species": ["Ga", "Cd", "Zn", "In"], "frac_coords": [[0.250, 0.250, 0.250], [0.500, 0.500, 0.500], [0.750, 0.750, 0.750], [0.000, 0.000, 0.000]]}

=====

Record 6
{"formula": "ZrCdInGa", "functional": "PBE", "state": "relaxed", "dos_at_fermi_per_ev_cell": 1.21, "formation_energy_mev_per_atom": -285.1, "vol_a3_per_atom": 20.402, "crystal_system": "orthorhombic", "lattice": [[-2.611, -3.263, -0.512], [0.725, 0.087, -4.256], [3.439, -2.836, 0.528]], "species": ["Cd", "In", "Zr", "Ga"], "frac_coords": [[0.000, 0.000, 0.000], [0.500, 0.500, 0.000], [0.000, 0.500, 0.500], [0.500, 0.000, 0.500]]}

=====

Copy entry 3 word for word.
{"formula": "Y4CdIn2Ga", "functional": "PBE", "state": "relaxed", "dos_at_fermi_per_ev_cell": 5.66, "formation_energy_mev_per_atom": -492.2, "vol_a3_per_atom": 25.661, "crystal_system": "trigonal", "lattice": [[5.263, 0.000, 0.000], [2.632, 4.558, 0.000], [2.632, 1.519, 8.557]], "species": ["Y", "Y", "Y", "Y", "Ga", "In", "In", "Cd"], "frac_coords": [[0.621, 0.621, 0.138], [0.128, 0.128, 0.615], [0.379, 0.379, 0.862], [0.872, 0.872, 0.385], [0.500, 0.500, 0.500], [0.255, 0.255, 0.236], [0.745, 0.745, 0.764], [0.000, 0.000, 0.000]]}